Record 1
Al4RuAu, relaxed, DFT PBE; raw total energy = -27.44 eV per formula unit; calculated formation energy = 0.0146 eV per atom; space group = F-43m; DOS(E_F) = 3.6 states/eV/f.u.
1.0
0.0000 3.5881 3.5881
3.5881 0.0000 3.5881
3.5881 3.5881 0.0000
Al Ru Au
4 1 1
Cartesian
2.6957 2.6957 2.6957 Al
4.4806 4.4806 2.6957 Al
4.4806 2.6957 4.4806 Al
2.6957 4.4806 4.4806 Al
5.3822 5.3822 5.3822 Ru
0.0000 0.0000 0.0000 Au

***

Record 2
NaLa2Pm, relaxed, DFT PBE; energy relative to the lowest polymorph listed for this composition = 0.0004 eV per atom; raw total energy = -15.59 eV per formula unit; calculated formation energy = 0.0846 eV per atom; space group = P4/mmm; DOS(E_F) = 3.9 states/eV/f.u.
1.0
3.6255 0.0000 0.0000
0.0000 3.6255 0.0000
0.0000 0.0000 11.1341
Na La Pm
1 2 1
Cartesian
0.0000 0.0000 0.0000 Na
1.8128 1.8128 2.9915 La
1.8128 1.8128 8.1426 La
0.0000 0.0000 5.5671 Pm